Here is crystalline La2Pr3Er6 at its relaxed geometry from Alexandria. Energies are from PBE.

Unit cell a=6.2842 b=10.6048 c=11.6905 alpha=90.00 beta=97.87 gamma=90.00
Space group C2/m (No. 12)
Symmetry-distinct sites (fractional):
La (0.0000, 0.1811, 0.0000) (multiplicity 4)
Pr (0.0000, 0.0000, 0.5000) (multiplicity 2)
Pr (0.0000, 0.3361, 0.5000) (multiplicity 4)
Er (0.2346, 0.5000, 0.7544) (multiplicity 4)
Er (0.2363, 0.1668, 0.7470) (multiplicity 8)

Summary:
Calculated total energy = -4.5019 eV/atom
Formation enthalpy at 0 K = 2.05 eV per formula unit
Total magnetization = 0.00 μB per formula unit
Theoretical density = 7.3 Mg/m³


Here is crystalline BaBe4Bi3O12 at its relaxed geometry from Alexandria. Energies are from PBE.

Unit cell a=10.5844 b=10.5844 c=8.4274 alpha=90.00 beta=90.00 gamma=120.00
Space group R32 (No. 155, hexagonal axes)
Symmetry-distinct sites (fractional):
Ba (0.0000, 0.0000, 0.0000) (multiplicity 3)
Be (0.0000, 0.0000, 0.5000) (multiplicity 3)
Be (0.0000, 0.4431, 0.5000) (multiplicity 9)
Bi (0.0000, 0.5472, 0.0000) (multiplicity 9)
O (0.0000, 0.5944, 0.5000) (multiplicity 9)
O (0.0000, 0.8519, 0.5000) (multiplicity 9)
O (0.0251, 0.2093, 0.1962) (multiplicity 18)

Summary:
Calculated total energy = -6.1275 eV/atom
Formation energy without anion corrections = -1.73 eV per atom
Total magnetization = 0.00 μB per formula unit
Theoretical density = 6.0 Mg/m³


Here is crystalline Tm3Zn2Ni3 at its relaxed geometry from Alexandria. Energies are from PBE.

Unit cell a=7.3378 b=14.3562 c=5.5394 alpha=90.00 beta=90.00 gamma=90.00
Space group Pnma (No. 62)
Symmetry-distinct sites (fractional):
Tm (0.0392, 0.1040, 0.1475) (multiplicity 8)
Tm (0.1818, 0.2500, 0.6071) (multiplicity 4)
Zn (0.1103, 0.6052, 0.3605) (multiplicity 8)
Ni (0.1756, 0.7500, 0.6090) (multiplicity 4)
Ni (0.1895, 0.0374, 0.5760) (multiplicity 8)

Summary:
Calculated total energy = -4.5763 eV/atom
Formation enthalpy at 0 K = -3.30 eV per formula unit
Total magnetization = 0.00 μB per formula unit
Theoretical density = 9.3 Mg/m³


Here is crystalline AlNi2Pt2 at its relaxed geometry from Alexandria. Energies are from PBE.

Unit cell a=6.4498 b=6.4498 c=3.5381 alpha=90.00 beta=90.00 gamma=90.00
Space group P4/mbm (No. 127)
Symmetry-distinct sites (fractional):
Al (0.0000, 0.0000, 0.0000) (multiplicity 2)
Ni (0.1502, 0.3498, 0.5000) (multiplicity 4)
Pt (0.1465, 0.6465, 0.0000) (multiplicity 4)

Summary:
Calculated total energy = -5.6871 eV/atom
ΔE to the lowest computed polymorph = 0.0369 eV per atom
Formation enthalpy at 0 K = -1.05 eV per formula unit
Total magnetization = 1.06 μB per formula unit
Theoretical density = 12.1 Mg/m³